No. 1
A relaxed structure of SrIn2Sb. Source: Alexandria via LeMat-Bulk, functional PBE.

Summary:
Formation energy (no corrections) in meV/atom: -281
Magnetization in μB/atom: 0.000

a b c (Å): 7.889 7.889 7.889
angles (deg): 90.00 90.00 90.00
Atoms (fractional coordinates):
Sr: 0.000 0.000 0.000
Sr: 0.000 0.500 0.500
Sr: 0.500 0.000 0.500
Sr: 0.500 0.500 0.000
In: 0.000 0.000 0.500
In: 0.000 0.500 0.000
In: 0.250 0.250 0.750
In: 0.250 0.750 0.250
In: 0.500 0.000 0.000
In: 0.500 0.500 0.500
In: 0.750 0.250 0.250
In: 0.750 0.750 0.750
Sb: 0.250 0.250 0.250
Sb: 0.250 0.750 0.750
Sb: 0.750 0.250 0.750
Sb: 0.750 0.750 0.250


No. 2
A relaxed structure of SrCa9Ac2. Source: Alexandria via LeMat-Bulk, functional PBE.

Summary:
Formation energy in meV/atom: 54
Magnetization in μB/atom: 0.002

a b c (Å): 5.623 5.623 16.663
angles (deg): 90.00 90.00 90.00
Atoms (fractional coordinates):
Sr: 0.000 0.000 0.000
Ca: 0.000 0.500 0.171
Ca: 0.000 0.500 0.500
Ca: 0.000 0.500 0.829
Ca: 0.500 0.000 0.171
Ca: 0.500 0.000 0.500
Ca: 0.500 0.000 0.829
Ca: 0.500 0.500 0.000
Ca: 0.500 0.500 0.335
Ca: 0.500 0.500 0.665
Ac: 0.000 0.000 0.337
Ac: 0.000 0.000 0.663


No. 3
A relaxed structure of Cd2CuNi. Source: Alexandria via LeMat-Bulk, functional PBE.

Summary:
Formation energy in meV/atom: 103
Distance to the lowest polymorph of the same formula in eV/f.u.: 0.16
Magnetization in μB/atom: 0.000

a b c (Å): 3.892 3.892 8.409
angles (deg): 90.00 90.00 90.00
Atoms (fractional coordinates):
Cd: 0.000 0.000 0.000
Cd: 0.000 0.500 0.250
Cd: 0.500 0.000 0.750
Cd: 0.500 0.500 0.500
Cu: 0.000 0.500 0.750
Cu: 0.500 0.000 0.250
Ni: 0.000 0.000 0.500
Ni: 0.500 0.500 0.000


No. 4
A relaxed structure of Pr2SmCo6. Source: Alexandria via LeMat-Bulk, functional PBE.

Summary:
Formation energy in meV/atom: -69
Magnetization in μB/atom: 0.514

a b c (Å): 6.757 6.757 4.233
angles (deg): 90.00 90.00 120.00
Atoms (fractional coordinates):
Pr: 0.333 0.667 0.000
Pr: 0.667 0.333 0.000
Sm: 0.000 0.000 0.000
Co: 0.000 0.332 0.500
Co: 0.000 0.668 0.500
Co: 0.332 0.000 0.500
Co: 0.332 0.332 0.500
Co: 0.668 0.000 0.500
Co: 0.668 0.668 0.500